# 1
Here is a geometry-optimized Mn3FeSe structure from the Alexandria database. Energies are from PBE-GGA.

Cell: 4.416 4.416 4.416 Å, 90.00 90.00 90.00°
Positions (direct):
Fe (0.000, 0.000, 0.000)
Mn (0.000, 0.000, 0.500)
Mn (0.500, 0.000, 0.000)
Mn (0.000, 0.500, 0.000)
Se (0.500, 0.500, 0.500)

Output
space-group type = Pm-3m
DFT total energy = -35.26 eV per cell
D(E_F) = 4.73 states/eV/f.u.
magnetization = 1.871 μB/atom
formation energy from raw total energies = 0.839 eV per atom

***

# 2
Here is a geometry-optimized BaSn3Pb2Se6 structure from the Alexandria database. Energies are from PBE-GGA.

Cell: 4.396 8.839 9.825 Å, 102.40 102.93 90.00°
Positions (direct):
Sn (0.832, 0.174, 0.663)
Sn (0.500, 0.500, 0.000)
Sn (0.168, 0.826, 0.337)
Se (0.326, 0.910, 0.652)
Se (0.334, 0.406, 0.668)
Se (0.666, 0.594, 0.332)
Se (0.999, 0.734, 0.998)
Se (0.001, 0.266, 0.002)
Se (0.674, 0.090, 0.348)
Ba (0.500, 0.000, 0.000)
Pb (0.167, 0.333, 0.334)
Pb (0.833, 0.667, 0.666)

Output
space-group type = C2/m
DFT total energy = -50.94 eV per cell
magnetization = 0.000 μB/atom
formation energy from raw total energies = -0.724 eV per atom

***

# 3
Here is a geometry-optimized GaMoSe2 structure from the Alexandria database. Energies are from PBE-GGA.

Cell: 9.650 9.650 9.650 Å, 19.35 19.35 19.35°
Positions (direct):
Se (0.895, 0.895, 0.895)
Se (0.105, 0.105, 0.105)
Ga (0.000, 0.000, 0.000)
Mo (0.500, 0.500, 0.500)

Output
space-group type = R-3m
DFT total energy = -21.82 eV per cell
D(E_F) = 2.86 states/eV/f.u.
magnetization = 0.000 μB/atom
formation energy from raw total energies = -0.249 eV per atom

***

# 4
Here is a geometry-optimized CeNd2Se4 structure from the Alexandria database. Energies are from PBE-GGA.

Cell: 4.132 7.282 14.138 Å, 90.00 90.00 106.48°
Positions (direct):
Ce (0.377, 0.755, 0.250)
Ce (0.623, 0.245, 0.750)
Se (0.224, 0.448, 0.624)
Se (0.969, 0.937, 0.750)
Se (0.500, 0.000, 0.500)
Se (0.224, 0.448, 0.876)
Se (0.031, 0.063, 0.250)
Se (0.776, 0.552, 0.124)
Se (0.776, 0.552, 0.376)
Se (0.500, 0.000, 0.000)
Nd (0.869, 0.738, 0.568)
Nd (0.131, 0.262, 0.068)
Nd (0.131, 0.262, 0.432)
Nd (0.869, 0.738, 0.932)

Output
space-group type = Cmcm
DFT total energy = -84.64 eV per cell
D(E_F) = 7.13 states/eV/f.u.
magnetization = 0.186 μB/atom
formation energy from raw total energies = -1.845 eV per atom

***

# 5
Here is a geometry-optimized Os3PtSe structure from the Alexandria database. Energies are from PBE-GGA.

Cell: 4.828 4.828 4.828 Å, 90.00 90.00 90.00°
Positions (direct):
Os (0.000, 0.500, 0.000)
Os (0.000, 0.000, 0.500)
Os (0.500, 0.000, 0.000)
Se (0.500, 0.500, 0.500)
Pt (0.000, 0.000, 0.000)

Output
space-group type = Pm-3m
DFT total energy = -29.80 eV per cell
D(E_F) = 9.40 states/eV/f.u.
magnetization = 1.184 μB/atom
formation energy from raw total energies = 2.682 eV per atom

***

# 6
Here is a geometry-optimized Nd2Dy12Er5 structure from the Alexandria database. Energies are from PBE-GGA.

Cell: 6.734 12.924 12.284 Å, 139.40 67.85 118.89°
Positions (direct):
Er (0.415, 0.782, 0.321)
Er (0.605, 0.748, 0.764)
Er (0.000, 0.000, 0.500)
Er (0.395, 0.252, 0.236)
Er (0.585, 0.218, 0.679)
Dy (0.128, 0.968, 0.720)
Dy (0.074, 0.358, 0.946)
Dy (0.926, 0.642, 0.054)
Dy (0.518, 0.613, 0.928)
Dy (0.851, 0.593, 0.361)
Dy (0.289, 0.610, 0.477)
Dy (0.482, 0.387, 0.072)
Dy (0.872, 0.032, 0.280)
Dy (0.388, 0.968, 0.194)
Dy (0.612, 0.032, 0.806)
Dy (0.711, 0.390, 0.523)
Dy (0.149, 0.407, 0.639)
Nd (0.914, 0.187, 0.116)
Nd (0.086, 0.813, 0.884)

Output
space-group type = P-1
DFT total energy = -85.89 eV per cell
D(E_F) = 27.47 states/eV/f.u.
calculated formation energy = 0.09 eV/atom
magnetization = 0.000 μB/atom

***

# 7
Here is a geometry-optimized YMg4Pa structure from the Alexandria database. Energies are from PBE-GGA.

Cell: 5.949 5.949 5.949 Å, 60.00 60.00 60.00°
Positions (direct):
Mg (0.125, 0.625, 0.625)
Mg (0.625, 0.125, 0.625)
Mg (0.625, 0.625, 0.125)
Mg (0.625, 0.625, 0.625)
Pa (0.250, 0.250, 0.250)
Y (0.000, 0.000, 0.000)

Output
space-group type = F-43m
DFT total energy = -21.45 eV per cell
D(E_F) = 6.45 states/eV/f.u.
calculated formation energy = 0.15 eV/atom
magnetization = 0.000 μB/atom

***

# 8
Here is a geometry-optimized LiCeSn structure from the Alexandria database. Energies are from PBE-GGA.

Cell: 9.600 9.600 7.487 Å, 90.00 90.00 120.00°
Positions (direct):
Li (0.333, 0.667, 0.820)
Li (0.833, 0.666, 0.714)
Li (0.666, 0.833, 0.214)
Li (0.167, 0.334, 0.214)
Li (0.167, 0.833, 0.214)
Li (0.667, 0.333, 0.320)
Li (0.334, 0.167, 0.714)
Li (0.833, 0.167, 0.714)
Ce (0.000, 0.000, 0.003)
Ce (0.020, 0.510, 0.505)
Ce (0.490, 0.510, 0.505)
Ce (0.510, 0.490, 0.005)
Ce (0.980, 0.490, 0.005)
Ce (0.490, 0.980, 0.505)
Ce (0.510, 0.020, 0.005)
Ce (0.000, 0.000, 0.503)
Sn (0.667, 0.833, 0.772)
Sn (0.167, 0.333, 0.772)
Sn (0.167, 0.833, 0.772)
Sn (0.833, 0.667, 0.272)
Sn (0.333, 0.667, 0.233)
Sn (0.833, 0.167, 0.272)
Sn (0.667, 0.333, 0.733)
Sn (0.333, 0.167, 0.272)

Output
space-group type = P6_3mc
DFT total energy = -107.33 eV per cell
D(E_F) = 6.41 states/eV/f.u.
calculated formation energy = -0.52 eV/atom
magnetization = 0.321 μB/atom

***

# 9
Here is a geometry-optimized Ge2Sb2Au structure from the Alexandria database. Energies are from PBE-GGA.

Cell: 7.869 7.869 3.863 Å, 90.00 90.00 90.00°
Positions (direct):
Sb (0.323, 0.823, 0.000)
Sb (0.177, 0.323, 0.000)
Sb (0.823, 0.677, 0.000)
Sb (0.677, 0.177, 0.000)
Ge (0.627, 0.873, 0.500)
Ge (0.373, 0.127, 0.500)
Ge (0.127, 0.627, 0.500)
Ge (0.873, 0.373, 0.500)
Au (0.500, 0.500, 0.000)
Au (0.000, 0.000, 0.000)

Output
space-group type = P4/mbm
DFT total energy = -38.78 eV per cell
D(E_F) = 2.37 states/eV/f.u.
magnetization = 0.000 μB/atom
formation energy from raw total energies = 0.274 eV per atom

***

# 10
Here is a geometry-optimized CeGe12Rh4 structure from the Alexandria database. Energies are from PBE-GGA.

Cell: 7.476 7.476 7.476 Å, 109.47 109.47 109.47°
Positions (direct):
Rh (0.000, 0.500, 0.000)
Rh (0.500, 0.000, 0.000)
Rh (0.000, 0.000, 0.500)
Rh (0.500, 0.500, 0.500)
Ge (0.196, 0.847, 0.349)
Ge (0.153, 0.349, 0.502)
Ge (0.349, 0.502, 0.153)
Ge (0.349, 0.196, 0.847)
Ge (0.847, 0.651, 0.498)
Ge (0.651, 0.804, 0.153)
Ge (0.153, 0.651, 0.804)
Ge (0.498, 0.847, 0.651)
Ge (0.502, 0.153, 0.349)
Ge (0.651, 0.498, 0.847)
Ge (0.847, 0.349, 0.196)
Ge (0.804, 0.153, 0.651)
Ce (0.000, 0.000, 0.000)

Output
space-group type = Im-3
DFT total energy = -95.80 eV per cell
D(E_F) = 10.12 states/eV/f.u.
calculated formation energy = -0.30 eV/atom
magnetization = 0.019 μB/atom

***

# 11
Here is a geometry-optimized SiSb2Os structure from the Alexandria database. Energies are from PBE-GGA.

Cell: 8.330 8.330 8.330 Å, 158.77 153.92 33.87°
Positions (direct):
Si (0.750, 0.250, 0.500)
Sb (0.403, 0.403, 0.000)
Sb (0.097, 0.097, 0.000)
Os (0.250, 0.750, 0.500)

Output
space-group type = Immm
DFT total energy = -23.95 eV per cell
D(E_F) = 2.75 states/eV/f.u.
magnetization = 0.000 μB/atom
formation energy from raw total energies = 0.238 eV per atom

***

# 12
Here is a geometry-optimized CrBiAsSe2 structure from the Alexandria database. Energies are from PBE-GGA.

Cell: 4.935 4.935 4.768 Å, 90.00 90.00 90.00°
Positions (direct):
Se (0.500, 0.000, 0.000)
Se (0.000, 0.500, 0.000)
Bi (0.500, 0.500, 0.500)
Cr (0.000, 0.000, 0.000)
As (0.000, 0.000, 0.500)

Output
space-group type = P4/mmm
DFT total energy = -24.31 eV per cell
D(E_F) = 3.81 states/eV/f.u.
magnetization = 0.581 μB/atom
formation energy from raw total energies = 0.162 eV per atom